Na2Ho2HfS6 | PBE | relaxed

Lattice parameters (Å, degrees): 6.740 11.548 7.127 90.00 108.30 90.00
Space group C2/m (No. 12)
One atom of each set of equivalent atoms:
Na  0.000  0.169  0.000 (multiplicity 4)
Ho  0.000  0.334  0.500 (multiplicity 4)
Hf  0.000  0.000  0.500 (multiplicity 2)
S  0.230  0.159  0.717 (multiplicity 8)
S  0.240  0.000  0.284 (multiplicity 4)

Results
The value obtained for the energy relative to the elements, uncorrected is -19.491 eV/f.u.

CuSeI2 | PBE | relaxed

Lattice parameters (Å, degrees): 7.399 7.399 7.399 90.00 90.00 90.00
Space group Fm-3m (No. 225)
One atom of each set of equivalent atoms:
Cu  0.000  0.000  0.000 (multiplicity 4)
Se  0.000  0.000  0.500 (multiplicity 4)
I  0.250  0.250  0.250 (multiplicity 8)

Results
The value obtained for the offset from the most stable computed form is 752 meV/atom. The value obtained for the energy relative to the elements, uncorrected is 2.871 eV/f.u.

KGaSb3 | PBE | relaxed

Lattice parameters (Å, degrees): 5.495 5.495 5.495 90.00 90.00 90.00
Space group Pm-3m (No. 221)
One atom of each set of equivalent atoms:
K  0.000  0.000  0.000 (multiplicity 1)
Ga  0.500  0.500  0.500 (multiplicity 1)
Sb  0.000  0.500  0.500 (multiplicity 3)

Results
The value obtained for the offset from the most stable computed form is 344 meV/atom. The value obtained for the energy relative to the elements, uncorrected is 1.012 eV/f.u.